The following is a PBE calculation of ScNbFeRe after structural relaxation, from Alexandria via LeMat-Bulk.

Geometry as POSCAR:
```
ScNbFeRe
1.0
-1.661 2.930 -2.941
-1.920 -1.457 -3.766
-4.424 0.363 -0.539
Re Nb Sc Fe
1 1 1 1
Direct
0.750 0.750 0.750
0.500 0.500 0.500
0.000 0.000 0.000
0.250 0.250 0.250
```

## Properties
- total energy (eV per cell) = -37.77
- SG = F-43m (216)

=====

The following is a PBE calculation of NbFeReSe2 after structural relaxation, from Alexandria via LeMat-Bulk.

Geometry as POSCAR:
```
NbFeReSe2
1.0
-2.993 -2.627 2.913
-2.731 -1.216 -3.902
2.806 -3.994 -0.719
Nb Se Fe Re
1 2 1 1
Direct
0.000 0.000 0.000
0.000 0.000 0.500
0.500 0.000 0.000
0.500 0.500 0.500
0.000 0.500 0.000
```

## Properties
- energy relative to the elements, uncorrected (kJ/mol of atoms) = 161.62
- SG = P4/mmm (123)

=====

The following is a PBE calculation of Nb2FeReSi after structural relaxation, from Alexandria via LeMat-Bulk.

Geometry as POSCAR:
```
Nb2FeReSi
1.0
-0.776 2.241 -4.234
-4.188 -1.599 -0.079
-1.550 3.941 2.369
Si Fe Re Nb
1 1 1 2
Direct
0.500 0.500 0.500
0.000 0.500 0.000
0.000 0.000 0.000
0.000 0.000 0.500
0.500 0.000 0.000
```

## Properties
- energy relative to the elements, uncorrected (kJ/mol of atoms) = 130.47
- SG = P4/mmm (123)

=====

| no. | total moment (μB per formula unit) |
| --- | --- |
| 1 | 0.458 |
| 2 | 1.930 |
| 3 | 2.235 |